PmNdSm2S4 after structural relaxation, computed with PBE-GGA.

The structure in CIF format:
```
data_PmNdSm2S4
_cell_length_a 6.999
_cell_length_b 3.997
_cell_length_c 7.005
_cell_angle_alpha 90.00
_cell_angle_beta 109.09
_cell_angle_gamma 90.00
_space_group_name_H-M_alt 'P 1 2/m 1'
_space_group_IT_number 10
loop_
_space_group_symop_operation_xyz
'x,y,z'
'-x,-y,-z'
'-x,y,-z'
'x,-y,z'
loop_
_atom_site_label
_atom_site_type_symbol
_atom_site_fract_x
_atom_site_fract_y
_atom_site_fract_z
_atom_site_occupancy
Pm1 Pm 0.000 0.000 0.000 1
Nd1 Nd 0.500 0.500 0.000 1
Sm1 Sm 0.000 0.500 0.500 1
Sm2 Sm 0.500 0.000 0.500 1
S1 S 0.247 0.000 0.745 1
S2 S 0.250 0.500 0.253 1
```

***

Pm2Nd3SmS6 after structural relaxation, computed with PBE-GGA.

The structure in CIF format:
```
data_Pm2Nd3SmS6
_cell_length_a 6.998
_cell_length_b 12.160
_cell_length_c 7.009
_cell_angle_alpha 90.00
_cell_angle_beta 109.48
_cell_angle_gamma 90.00
_space_group_name_H-M_alt 'C 1 2/m 1'
_space_group_IT_number 12
loop_
_space_group_symop_operation_xyz
'x,y,z'
'-x,-y,-z'
'-x,y,-z'
'x,-y,z'
'x+1/2,y+1/2,z'
'-x+1/2,-y+1/2,-z'
'-x+1/2,y+1/2,-z'
'x+1/2,-y+1/2,z'
loop_
_atom_site_label
_atom_site_type_symbol
_atom_site_fract_x
_atom_site_fract_y
_atom_site_fract_z
_atom_site_occupancy
Pm1 Pm 0.000 0.167 0.000 1
Nd1 Nd 0.000 0.000 0.500 1
Nd2 Nd 0.000 0.333 0.500 1
Sm1 Sm 0.000 0.500 0.000 1
S1 S 0.248 0.334 0.246 1
S2 S 0.250 0.000 0.246 1
```

***

Pm3Nd2SmS6 after structural relaxation, computed with PBE-GGA.

The structure in CIF format:
```
data_Pm3Nd2SmS6
_cell_length_a 6.989
_cell_length_b 12.146
_cell_length_c 6.995
_cell_angle_alpha 90.00
_cell_angle_beta 109.50
_cell_angle_gamma 90.00
_space_group_name_H-M_alt 'C 1 2/m 1'
_space_group_IT_number 12
loop_
_space_group_symop_operation_xyz
'x,y,z'
'-x,-y,-z'
'-x,y,-z'
'x,-y,z'
'x+1/2,y+1/2,z'
'-x+1/2,-y+1/2,-z'
'-x+1/2,y+1/2,-z'
'x+1/2,-y+1/2,z'
loop_
_atom_site_label
_atom_site_type_symbol
_atom_site_fract_x
_atom_site_fract_y
_atom_site_fract_z
_atom_site_occupancy
Pm1 Pm 0.000 0.000 0.000 1
Pm2 Pm 0.000 0.332 0.000 1
Nd1 Nd 0.000 0.167 0.500 1
Sm1 Sm 0.000 0.500 0.500 1
S1 S 0.246 0.500 0.248 1
S2 S 0.249 0.335 0.751 1
```

***

PmNd2Sm3S6 after structural relaxation, computed with PBE-GGA.

The structure in CIF format:
```
data_PmNd2Sm3S6
_cell_length_a 6.972
_cell_length_b 12.116
_cell_length_c 6.987
_cell_angle_alpha 90.00
_cell_angle_beta 109.47
_cell_angle_gamma 90.00
_space_group_name_H-M_alt 'C 1 2/m 1'
_space_group_IT_number 12
loop_
_space_group_symop_operation_xyz
'x,y,z'
'-x,-y,-z'
'-x,y,-z'
'x,-y,z'
'x+1/2,y+1/2,z'
'-x+1/2,-y+1/2,-z'
'-x+1/2,y+1/2,-z'
'x+1/2,-y+1/2,z'
loop_
_atom_site_label
_atom_site_type_symbol
_atom_site_fract_x
_atom_site_fract_y
_atom_site_fract_z
_atom_site_occupancy
Pm1 Pm 0.000 0.000 0.000 1
Nd1 Nd 0.000 0.333 0.000 1
Sm1 Sm 0.000 0.168 0.500 1
Sm2 Sm 0.000 0.500 0.500 1
S1 S 0.246 0.000 0.745 1
S2 S 0.250 0.166 0.254 1
```

***

Pm2NdSm3S6 after structural relaxation, computed with PBE-GGA.

The structure in CIF format:
```
data_Pm2NdSm3S6
_cell_length_a 6.963
_cell_length_b 12.102
_cell_length_c 6.973
_cell_angle_alpha 90.00
_cell_angle_beta 109.49
_cell_angle_gamma 90.00
_space_group_name_H-M_alt 'C 1 2/m 1'
_space_group_IT_number 12
loop_
_space_group_symop_operation_xyz
'x,y,z'
'-x,-y,-z'
'-x,y,-z'
'x,-y,z'
'x+1/2,y+1/2,z'
'-x+1/2,-y+1/2,-z'
'-x+1/2,y+1/2,-z'
'x+1/2,-y+1/2,z'
loop_
_atom_site_label
_atom_site_type_symbol
_atom_site_fract_x
_atom_site_fract_y
_atom_site_fract_z
_atom_site_occupancy
Pm1 Pm 0.000 0.167 0.000 1
Nd1 Nd 0.000 0.500 0.000 1
Sm1 Sm 0.000 0.000 0.500 1
Sm2 Sm 0.000 0.334 0.500 1
S1 S 0.248 0.168 0.746 1
S2 S 0.249 0.000 0.253 1
```

***

Pm4NdSmS8 after structural relaxation, computed with PBE-GGA.

The structure in CIF format:
```
data_Pm4NdSmS8
_cell_length_a 8.2910
_cell_length_b 8.2910
_cell_length_c 20.2844
_cell_angle_alpha 90.00
_cell_angle_beta 90.00
_cell_angle_gamma 120.00
_space_group_name_H-M_alt 'R 3 m'
_space_group_IT_number 160
_space_group_name_Hall 'R 3 -2"'
loop_
_atom_site_label
_atom_site_type_symbol
_atom_site_fract_x
_atom_site_fract_y
_atom_site_fract_z
_atom_site_occupancy
Pm1 Pm 0.0000 0.0000 0.0000 1
Pm2 Pm 0.0007 0.5004 0.8753 1
Nd1 Nd 0.0000 0.0000 0.7503 1
Sm1 Sm 0.0000 0.0000 0.3751 1
S1 S 0.0000 0.0000 0.1325 1
S2 S 0.0000 0.0000 0.6169 1
S3 S 0.0233 0.5117 0.1276 1
S4 S 0.1772 0.3545 0.9566 1
```

***

Sr3Pm3NdS8 after structural relaxation, computed with PBE-GGA.

The structure in CIF format:
```
data_Sr3Pm3NdS8
_cell_length_a 8.1994
_cell_length_b 8.1994
_cell_length_c 20.7260
_cell_angle_alpha 90.00
_cell_angle_beta 90.00
_cell_angle_gamma 120.00
_space_group_name_H-M_alt 'R -3 m'
_space_group_IT_number 166
_space_group_name_Hall '-R 3 2"'
loop_
_atom_site_label
_atom_site_type_symbol
_atom_site_fract_x
_atom_site_fract_y
_atom_site_fract_z
_atom_site_occupancy
Sr1 Sr 0.0000 0.5000 0.0000 1
Pm1 Pm 0.0000 0.5000 0.5000 1
Nd1 Nd 0.0000 0.0000 0.5000 1
S1 S 0.0000 0.0000 0.2457 1
S2 S 0.0008 0.5004 0.2438 1
```

***

Sr3PmNd3S8 after structural relaxation, computed with PBE-GGA.

The structure in CIF format:
```
data_Sr3PmNd3S8
_cell_length_a 8.2338
_cell_length_b 8.2338
_cell_length_c 20.7693
_cell_angle_alpha 90.00
_cell_angle_beta 90.00
_cell_angle_gamma 120.00
_space_group_name_H-M_alt 'R -3 m'
_space_group_IT_number 166
_space_group_name_Hall '-R 3 2"'
loop_
_atom_site_label
_atom_site_type_symbol
_atom_site_fract_x
_atom_site_fract_y
_atom_site_fract_z
_atom_site_occupancy
Sr1 Sr 0.0000 0.5000 0.0000 1
Pm1 Pm 0.0000 0.0000 0.5000 1
Nd1 Nd 0.0000 0.5000 0.5000 1
S1 S 0.0000 0.0000 0.2466 1
S2 S 0.0049 0.5024 0.2437 1
```

***

no.,E_form (uncorrected) (meV per atom),magnetization (μB/f.u.)
1,-2025,0.0
2,-2032,0.0
3,-2033,0.0
4,-2030,0.0
5,-2032,0.0
6,-1917,0.0
7,-2067,0.0
8,-2067,0.0